Entry 1:
This record from Alexandria describes a geometry-optimized HgHPdPt structure. The functional is PBE.

Values from the calculation:
The raw total energy comes out at -3.754 eV/atom.

Cell lengths 12.6793, 2.9968, 3.0059 Å; angles 90.00, 103.54, 90.00 degrees
Closest atoms and distances in Å follow each position.
Space group Cm (No. 8)
Symmetry-distinct sites (fractional):
1 Hg 0.0000 0.0000 0.0000 x2  4 Pd 2.90, 4 Pt 2.94, 4 Hg 3.00-3.01
2 H 0.2530 0.0000 0.7561 x2  2 Pt 1.81, 2 Pd 1.89
3 Pd 0.1600 0.5000 0.6591 x2  2 H 1.89
4 Pt 0.3349 0.0000 0.3364 x2  2 H 1.81


Entry 2:
This record from Alexandria describes a geometry-optimized La2PmGa3 structure. The functional is PBE.

Values from the calculation:
The raw total energy comes out at -4.513 eV/atom. As for the formation enthalpy at 0 K: -566 meV/atom.

Cell lengths 5.2756, 15.8530, 7.5016 Å; angles 90.00, 90.00, 90.00 degrees
Closest atoms and distances in Å follow each position.
Space group Cmmm (No. 65)
Symmetry-distinct sites (fractional):
1 La 0.0000 0.0000 0.0000 x2  8 Ga 3.28-3.31
2 La 0.0000 0.0000 0.5000 x2  8 Ga 3.20-3.24
3 La 0.0000 0.3359 0.0000 x4  8 Ga 3.25-3.27
4 Pm 0.0000 0.3328 0.5000 x4  8 Ga 3.16-3.21
5 Ga 0.0000 0.1695 0.2579 x8  3 Pm 3.16-3.20, 5 La 3.24-3.31
6 Ga 0.0000 0.5000 0.2590 x4  6 La 3.20-3.28, 2 Pm 3.21


Entry 3:
This record from Alexandria describes a geometry-optimized ReNi2HgAs structure. The functional is PBE.

Values from the calculation:
The raw total energy comes out at -3.787 eV/atom. As for the formation enthalpy at 0 K: 2005 meV/atom.

Cell lengths 4.6727, 4.6727, 4.9753 Å; angles 90.00, 90.00, 90.00 degrees
Closest atoms and distances in Å follow each position.
Space group P4/mmm (No. 123)
Symmetry-distinct sites (fractional):
1 Re 0.0000 0.0000 0.0000 x1  4 As 3.30, 8 Ni 3.41
2 Ni 0.0000 0.5000 0.5000 x2  2 Hg 2.34
3 Hg 0.5000 0.5000 0.5000 x1  4 Ni 2.34, 2 As 2.49
4 As 0.5000 0.5000 0.0000 x1  2 Hg 2.49


Entry 4:
This record from Alexandria describes a geometry-optimized LaPu2Os structure. The functional is PBE.

Values from the calculation:
The raw total energy comes out at -11.188 eV/atom. As for the formation enthalpy at 0 K: 18 meV/atom.

Cell lengths 15.1495, 8.9182, 6.1155 Å; angles 90.00, 90.00, 90.00 degrees
Closest atoms and distances in Å follow each position.
Space group Pnma (No. 62)
Symmetry-distinct sites (fractional):
1 La 0.1088 0.2500 0.2229 x4  3 Os 3.12-3.32, 2 Pu 3.47
2 La 0.1373 0.7500 0.9917 x4  3 Os 3.04-3.33
3 Pu 0.0381 0.0524 0.7409 x8  3 Os 2.80-3.08
4 Pu 0.2132 0.5550 0.4628 x8  2 Os 2.80-2.84
5 Os 0.0657 0.7500 0.5058 x4  6 Pu 2.80-3.08, 1 La 3.12
6 Os 0.1834 0.2500 0.7129 x4  4 Pu 2.80-2.82, 1 La 3.04


Entry 5:
This record from Alexandria describes a geometry-optimized TbSm14Sc structure. The functional is PBE.

Values from the calculation:
The raw total energy comes out at -4.791 eV/atom. As for the formation enthalpy at 0 K: 24 meV/atom.

Cell lengths 10.1585, 10.2006, 10.2048 Å; angles 90.00, 90.00, 90.00 degrees
Closest atoms and distances in Å follow each position.
Space group Amm2 (No. 38)
Symmetry-distinct sites (fractional):
1 Tb 0.0000 0.0000 0.0000 x2  12 Sm 3.59-3.61
2 Sm 0.0000 0.2495 0.2502 x4  8 Sm 3.57, 2 Sc 3.60-3.61, 2 Tb 3.61
3 Sm 0.2460 0.0000 0.7480 x4  1 Sc 3.55, 10 Sm 3.57-3.64, 1 Tb 3.59
4 Sm 0.2463 0.2481 0.5002 x8  1 Sc 3.56, 10 Sm 3.57-3.64, 1 Tb 3.59
5 Sm 0.2466 0.0000 0.2523 x4  1 Sc 3.56, 10 Sm 3.57-3.64, 1 Tb 3.59
6 Sm 0.5000 0.0000 0.0002 x2  12 Sm 3.61-3.64
7 Sm 0.5000 0.0000 0.5001 x2  12 Sm 3.61
8 Sm 0.5000 0.2503 0.2501 x4  12 Sm 3.61-3.63
9 Sc 0.0000 0.0000 0.5003 x2  12 Sm 3.55-3.61


Entry 6:
This record from Alexandria describes a geometry-optimized LaTlSn2Te4 structure. The functional is PBE.

Values from the calculation:
For the energy relative to the elements, uncorrected, the calculation gives -0.6695 eV per atom. The raw total energy comes out at -4.153 eV/atom.

Cell lengths 7.9994, 4.6071, 8.0407 Å; angles 90.00, 108.60, 90.00 degrees
Closest atoms and distances in Å follow each position.
Space group P2/m (No. 10)
Symmetry-distinct sites (fractional):
1 La 0.0000 0.0000 0.0000 x1  6 Te 3.22-3.28
2 Tl 0.5000 0.5000 0.0000 x1  6 Te 3.35-3.39
3 Sn 0.0000 0.5000 0.5000 x1  6 Te 3.16-3.18
4 Sn 0.5000 0.0000 0.5000 x1  6 Te 3.29
5 Te 0.2321 0.0000 0.7377 x2  3 Sn 3.18-3.29, 1 La 3.22, 2 Tl 3.39
6 Te 0.2411 0.5000 0.2561 x2  3 Sn 3.16-3.29, 2 La 3.28, 1 Tl 3.35


Entry 7:
This record from Alexandria describes a geometry-optimized MgAlH2 structure. The functional is PBE.

Values from the calculation:
The raw total energy comes out at -3.011 eV/atom.

Cell lengths 3.1518, 6.9506, 4.5849 Å; angles 90.00, 90.00, 90.00 degrees
Closest atoms and distances in Å follow each position.
Space group Pmn2_1 (No. 31)
Symmetry-distinct sites (fractional):
1 Mg 0.0000 0.1468 0.0000 x2  5 H 1.92-2.04
2 Al 0.0000 0.5133 0.7109 x2  1 H 1.72
3 H 0.0000 0.7597 0.7463 x2  1 Al 1.72
4 H 0.0000 0.9469 0.2902 x2  3 Mg 1.92-1.96


Entry 8:
This record from Alexandria describes a geometry-optimized Er2Tm3N4 structure. The functional is PBE.

Values from the calculation:
For the energy relative to the elements, uncorrected, the calculation gives -1.5829 eV per atom. The raw total energy comes out at -7.788 eV/atom.

Cell lengths 5.9429, 3.4310, 14.1677 Å; angles 90.00, 90.06, 90.00 degrees
Closest atoms and distances in Å follow each position.
Space group C2/m (No. 12)
Symmetry-distinct sites (fractional):
1 Er 0.1671 0.0000 0.1918 x4  6 N 2.38-2.51
2 Tm 0.0000 0.5000 0.0000 x2  6 N 2.43
3 Tm 0.1658 0.0000 0.6144 x4  3 N 2.32
4 N 0.0007 0.5000 0.3010 x4  3 Tm 2.32, 3 Er 2.51
5 N 0.1664 0.0000 0.9010 x4  3 Er 2.38, 3 Tm 2.43


Entry 9:
This record from Alexandria describes a geometry-optimized BeOsSe2Br structure. The functional is PBE.

Values from the calculation:
For the energy relative to the elements, uncorrected, the calculation gives 0.9383 eV per atom. The raw total energy comes out at -3.781 eV/atom.

Cell lengths 4.8031, 4.8031, 5.3109 Å; angles 90.00, 90.00, 90.00 degrees
Closest atoms and distances in Å follow each position.
Space group P4/mmm (No. 123)
Symmetry-distinct sites (fractional):
1 Be 0.0000 0.0000 0.0000 x1  4 Br 3.40, 8 Se 3.58
2 Os 0.5000 0.5000 0.5000 x1  4 Se 2.40, 2 Br 2.66
3 Se 0.0000 0.5000 0.5000 x2  2 Os 2.40
4 Br 0.5000 0.5000 0.0000 x1  2 Os 2.66


Entry 10:
This record from Alexandria describes a geometry-optimized Pr3Nd7Tm2 structure. The functional is PBE.

Values from the calculation:
The raw total energy comes out at -4.459 eV/atom. As for the formation enthalpy at 0 K: 262 meV/atom.

Cell lengths 6.3278, 5.7051, 12.3072 Å; angles 90.00, 92.05, 90.00 degrees
Closest atoms and distances in Å follow each position.
Space group P2/m (No. 10)
Symmetry-distinct sites (fractional):
1 Pr 0.0000 0.0000 0.0000 x1  6 Nd 3.38-3.72, 2 Tm 3.49
2 Pr 0.4292 0.5000 0.3400 x2  2 Tm 3.50, 6 Nd 3.56-3.76
3 Nd 0.0624 0.5000 0.8096 x2  2 Tm 3.27, 1 Pr 3.56, 3 Nd 3.56-3.60
4 Nd 0.2549 0.0000 0.5503 x2  2 Tm 3.27-3.41, 3 Nd 3.38-3.55
5 Nd 0.4086 0.0000 0.8305 x2  2 Tm 3.27-3.60, 1 Pr 3.38, 5 Nd 3.55-3.60
6 Nd 0.5000 0.5000 0.0000 x1  6 Nd 3.56-3.57
7 Tm 0.1276 0.0000 0.2785 x2  6 Nd 3.27-3.60, 3 Pr 3.49-3.50


Entry 11:
This record from Alexandria describes a geometry-optimized ZnNi2Te structure. The functional is PBE.

Values from the calculation:
For the energy relative to the elements, uncorrected, the calculation gives -0.0056 eV per atom. The raw total energy comes out at -4.000 eV/atom.

Cell lengths 9.5199, 3.3818, 3.8405 Å; angles 90.00, 90.08, 90.00 degrees
Closest atoms and distances in Å follow each position.
Space group Cm (No. 8)
Symmetry-distinct sites (fractional):
1 Zn 0.0000 0.0000 0.0000 x2  7 Ni 2.60-2.73
2 Ni 0.2872 0.0000 0.9995 x2  2 Ni 2.49, 4 Te 2.64, 3 Zn 2.64-2.73
3 Ni 0.4531 0.0000 0.5000 x2  2 Ni 2.49, 1 Te 2.54, 4 Zn 2.60
4 Te 0.2200 0.5000 0.4994 x2  7 Ni 2.54-2.79


Entry 12:
This record from Alexandria describes a geometry-optimized Ba3Hg9Au2 structure. The functional is PBE.

Values from the calculation:
The raw total energy comes out at -1.468 eV/atom. As for the formation enthalpy at 0 K: -393 meV/atom.

Cell lengths 4.8722, 11.1181, 15.1622 Å; angles 90.00, 90.00, 90.00 degrees
Closest atoms and distances in Å follow each position.
Space group Immm (No. 71)
Symmetry-distinct sites (fractional):
1 Ba 0.0000 0.0000 0.0000 x2  12 Hg 3.64-3.95, 4 Au 3.65
2 Ba 0.0000 0.0000 0.3227 x4  10 Hg 3.54-3.63, 2 Au 3.91
3 Hg 0.0000 0.2821 0.1218 x8  4 Hg 3.05-3.16, 2 Au 3.09
4 Hg 0.0000 0.3640 0.3213 x8  1 Au 2.97, 4 Hg 3.02-3.16
5 Hg 0.0000 0.5000 0.0000 x2  4 Hg 3.05
6 Au 0.0000 0.2556 0.5000 x4  6 Hg 2.97-3.09